Record 1
A geometry-optimized TaGeNO structure, computed with GGA-PBE.

Computed properties:
Offset from the most stable computed form = 68 meV per atom

The structure in CIF format:
```
data_TaGeNO
_cell_length_a 5.576
_cell_length_b 7.062
_cell_length_c 5.696
_cell_angle_alpha 90.00
_cell_angle_beta 90.00
_cell_angle_gamma 90.00
_space_group_name_H-M_alt 'P c a 21'
_space_group_IT_number 29
loop_
_space_group_symop_operation_xyz
'x,y,z'
'-x,-y,z+1/2'
'-x+1/2,y,z+1/2'
'x+1/2,-y,z'
loop_
_atom_site_label
_atom_site_type_symbol
_atom_site_fract_x
_atom_site_fract_y
_atom_site_fract_z
Ta1 Ta 0.126 0.134 0.000
Ge1 Ge 0.154 0.689 0.034
N1 N 0.040 0.083 0.662
O1 O 0.119 0.299 0.303
```


Record 2
A geometry-optimized Th2GeS3 structure, computed with GGA-PBE.

Computed properties:
Final energy = -6.53 eV per atom

The structure in CIF format:
```
data_Th2GeS3
_cell_length_a 6.7806
_cell_length_b 6.7806
_cell_length_c 3.9861
_cell_angle_alpha 90.00
_cell_angle_beta 90.00
_cell_angle_gamma 120.00
_space_group_name_H-M_alt 'P 6/m m m'
_space_group_IT_number 191
_space_group_name_Hall '-P 6 2'
loop_
_atom_site_label
_atom_site_type_symbol
_atom_site_fract_x
_atom_site_fract_y
_atom_site_fract_z
Th1 Th 0.3333 0.6667 0.0000
Ge1 Ge 0.0000 0.0000 0.0000
S1 S 0.0000 0.5000 0.5000
```


Record 3
A geometry-optimized HoNiW structure, computed with GGA-PBE.

Computed properties:
Offset from the most stable computed form = 941 meV per atom
Energy of formation = 1.57 eV/atom

The structure in CIF format:
```
data_HoNiW
_cell_length_a 6.375
_cell_length_b 6.375
_cell_length_c 6.375
_cell_angle_alpha 90.00
_cell_angle_beta 90.00
_cell_angle_gamma 90.00
_space_group_name_H-M_alt 'F -4 3 m'
_space_group_IT_number 216
_space_group_name_Hall 'F -4 2 3'
loop_
_atom_site_label
_atom_site_type_symbol
_atom_site_fract_x
_atom_site_fract_y
_atom_site_fract_z
Ho1 Ho 0.000 0.000 0.000
Ni1 Ni 0.250 0.250 0.750
W1 W 0.250 0.250 0.250
```